First-principles (PBE-GGA) data for a relaxed structure of CaNi2Pb, as listed in Alexandria.

```
4
Lattice="-0.0360 3.3034 0.0824 -3.2562 -0.0217 -0.5555 -1.1941 -0.1879 7.0068" Properties=species:S:1:pos:R:3 pbc="T T T"
Pb -0.5195 -0.0817 3.0482
Ni -0.0737 -0.0116 0.4322
Ni -1.8837 1.6035 1.1574
Ca -2.6066 1.4898 5.3993
```

formation enthalpy at 0 K = 36 meV per atom
density of states at the Fermi level = 0.984 states/eV per atom
uncorrected energy = -4.28 eV per atom